Material: CePaRuRh
Method: DFT, PBE
State: relaxed

Unit cell a=3.902 b=3.817 c=11.425 alpha=90.00 beta=90.00 gamma=90.00
Fractional positions:
Ce 0.000 0.000 0.000
Ce 0.000 0.500 0.500
Pa 0.500 0.000 0.274
Pa 0.500 0.500 0.774
Ru 0.000 0.000 0.740
Ru 0.000 0.500 0.240
Rh 0.500 0.000 0.541
Rh 0.500 0.500 0.041

Computed properties:
Formation energy from the elements: -660 meV/atom
Spin magnetization: 0.00 μB/f.u.
Theoretical density: 11.224 g/cm3
Offset from the most stable computed form: 0 meV/atom
Density of states at the Fermi level: 8.4 states/eV/cell
Symmetry: Amm2 (38)

***

Material: Ce2PaSb3Rh4
Method: DFT, PBE
State: relaxed

Unit cell a=4.472 b=4.472 c=11.172 alpha=90.00 beta=90.00 gamma=90.00
Fractional positions:
Ce 0.000 0.500 0.222
Ce 0.500 0.000 0.778
Pa 0.000 0.000 0.500
Sb 0.000 0.500 0.870
Sb 0.500 0.000 0.130
Sb 0.500 0.500 0.500
Rh 0.000 0.000 0.000
Rh 0.000 0.500 0.638
Rh 0.500 0.000 0.362
Rh 0.500 0.500 0.000

Computed properties:
Spin magnetization: 2.50 μB/f.u.
Theoretical density: 9.576 g/cm3
Density of states at the Fermi level: 20.1 states/eV/cell
Uncorrected formation energy: -0.773 eV/atom
Symmetry: P-4m2 (115)

***

Material: TbCePa2Rh4
Method: DFT, PBE
State: relaxed

Unit cell a=6.935 b=5.660 c=6.721 alpha=67.50 beta=48.94 gamma=63.56
Fractional positions:
Tb 0.000 0.000 0.000
Ce 0.570 0.570 0.430
Pa 0.327 0.327 0.173
Pa 0.827 0.827 0.673
Rh 0.091 0.492 0.909
Rh 0.328 0.837 0.163
Rh 0.492 0.091 0.508
Rh 0.837 0.328 0.672

Computed properties:
Formation energy from the elements: -712 meV/atom
Spin magnetization: 0.00 μB/f.u.
Theoretical density: 11.032 g/cm3
Density of states at the Fermi level: 7.3 states/eV/cell
Symmetry: Fmm2 (42)

***

Material: CePaZnRh
Method: DFT, PBE
State: relaxed

Unit cell a=6.812 b=6.812 c=6.812 alpha=90.00 beta=90.00 gamma=90.00
Fractional positions:
Ce 0.000 0.000 0.000
Ce 0.000 0.500 0.500
Ce 0.500 0.000 0.500
Ce 0.500 0.500 0.000
Pa 0.250 0.250 0.250
Pa 0.250 0.750 0.750
Pa 0.750 0.250 0.750
Pa 0.750 0.750 0.250
Zn 0.250 0.250 0.750
Zn 0.250 0.750 0.250
Zn 0.750 0.250 0.250
Zn 0.750 0.750 0.750
Rh 0.000 0.000 0.500
Rh 0.000 0.500 0.000
Rh 0.500 0.000 0.000
Rh 0.500 0.500 0.500

Computed properties:
Formation energy from the elements: -345 meV/atom
Spin magnetization: 2.05 μB/f.u.
Theoretical density: 11.334 g/cm3
Density of states at the Fermi level: 30.9 states/eV/cell
Symmetry: F-43m (216)

***

Material: CePaRu4
Method: DFT, PBE
State: relaxed

Unit cell a=5.337 b=5.337 c=5.337 alpha=60.00 beta=60.00 gamma=60.00
Fractional positions:
Ce 0.000 0.000 0.000
Pa 0.750 0.750 0.750
Ru 0.375 0.375 0.375
Ru 0.375 0.375 0.875
Ru 0.375 0.875 0.375
Ru 0.875 0.375 0.375

Computed properties:
Formation energy from the elements: -290 meV/atom
Spin magnetization: 0.00 μB/f.u.
Theoretical density: 11.978 g/cm3
Offset from the most stable computed form: 0 meV/atom
Density of states at the Fermi level: 11.8 states/eV/cell
Symmetry: F-43m (216)

***

Material: CePaRu
Method: DFT, PBE
State: relaxed

Unit cell a=3.069 b=3.069 c=14.488 alpha=90.00 beta=90.00 gamma=90.00
Fractional positions:
Ce 0.000 0.000 0.000
Ce 0.500 0.500 0.500
Pa 0.000 0.000 0.196
Pa 0.500 0.500 0.696
Ru 0.000 0.000 0.361
Ru 0.500 0.500 0.861

Computed properties:
Formation energy from the elements: 357 meV/atom
Spin magnetization: 0.00 μB/f.u.
Theoretical density: 11.496 g/cm3
Offset from the most stable computed form: 630 meV/atom
Density of states at the Fermi level: 15.3 states/eV/cell
Symmetry: I4mm (107)

***

Material: CePaRu2
Method: DFT, PBE
State: relaxed

Unit cell a=7.937 b=5.783 c=7.340 alpha=90.00 beta=90.73 gamma=90.00
Fractional positions:
Ce 0.124 0.166 0.331
Ce 0.124 0.334 0.831
Ce 0.876 0.666 0.169
Ce 0.876 0.834 0.669
Pa 0.375 0.675 0.174
Pa 0.375 0.825 0.674
Pa 0.625 0.175 0.326
Pa 0.625 0.325 0.826
Ru 0.136 0.671 0.446
Ru 0.136 0.829 0.946
Ru 0.385 0.176 0.078
Ru 0.385 0.324 0.578
Ru 0.615 0.676 0.422
Ru 0.615 0.824 0.922
Ru 0.864 0.171 0.054
Ru 0.864 0.329 0.554

Computed properties:
Formation energy from the elements: -479 meV/atom
Spin magnetization: 0.00 μB/f.u.
Theoretical density: 11.303 g/cm3
Density of states at the Fermi level: 18.1 states/eV/cell
Symmetry: P2_1/c (14)

***

Material: Ce5PaRu4
Method: DFT, PBE
State: relaxed

Unit cell a=8.628 b=8.628 c=7.584 alpha=106.29 beta=106.29 gamma=27.26
Fractional positions:
Ce 0.000 0.000 0.000
Ce 0.323 0.323 0.126
Ce 0.335 0.335 0.643
Ce 0.665 0.665 0.357
Ce 0.677 0.677 0.874
Pa 0.000 0.000 0.500
Ru 0.181 0.181 0.640
Ru 0.499 0.499 0.753
Ru 0.501 0.501 0.247
Ru 0.819 0.819 0.360

Computed properties:
Formation energy from the elements: -269 meV/atom
Spin magnetization: 1.45 μB/f.u.
Theoretical density: 8.961 g/cm3
Density of states at the Fermi level: 20.4 states/eV/cell
Symmetry: C2/m (12)

***

Material: Ce8PaRu2
Method: DFT, PBE
State: relaxed

Unit cell a=7.584 b=7.584 c=6.077 alpha=106.25 beta=106.25 gamma=57.26
Fractional positions:
Ce 0.083 0.083 0.309
Ce 0.130 0.664 0.173
Ce 0.332 0.332 0.730
Ce 0.336 0.870 0.827
Ce 0.664 0.130 0.173
Ce 0.668 0.668 0.270
Ce 0.870 0.336 0.827
Ce 0.917 0.917 0.691
Pa 0.500 0.500 0.500
Ru 0.246 0.246 0.204
Ru 0.754 0.754 0.796

Computed properties:
Formation energy from the elements: 42 meV/atom
Spin magnetization: 2.06 μB/f.u.
Theoretical density: 9.259 g/cm3
Density of states at the Fermi level: 31.1 states/eV/cell
Symmetry: C2/m (12)

***

Material: CePaRu4
Method: DFT, PBE
State: relaxed

Unit cell a=8.977 b=3.294 c=7.561 alpha=90.00 beta=104.38 gamma=90.00
Fractional positions:
Ce 0.000 0.000 0.000
Ce 0.500 0.500 0.000
Pa 0.000 0.000 0.500
Pa 0.500 0.500 0.500
Ru 0.157 0.500 0.359
Ru 0.162 0.500 0.855
Ru 0.338 0.000 0.145
Ru 0.343 0.000 0.641
Ru 0.657 0.000 0.359
Ru 0.662 0.000 0.855
Ru 0.838 0.500 0.145
Ru 0.843 0.500 0.641

Computed properties:
Formation energy from the elements: -136 meV/atom
Spin magnetization: 0.00 μB/f.u.
Theoretical density: 11.889 g/cm3
Offset from the most stable computed form: 154 meV/atom
Density of states at the Fermi level: 11.1 states/eV/cell
Symmetry: C2/m (12)

***

Material: Ce2PaRu3
Method: DFT, PBE
State: relaxed

Unit cell a=6.900 b=6.900 c=7.716 alpha=107.91 beta=107.91 gamma=48.74
Fractional positions:
Ce 0.116 0.224 0.062
Ce 0.224 0.116 0.562
Ce 0.776 0.884 0.438
Ce 0.884 0.776 0.938
Pa 0.424 0.576 0.750
Pa 0.576 0.424 0.250
Ru 0.078 0.922 0.250
Ru 0.272 0.427 0.368
Ru 0.427 0.272 0.868
Ru 0.573 0.728 0.132
Ru 0.728 0.573 0.632
Ru 0.922 0.078 0.750

Computed properties:
Formation energy from the elements: -327 meV/atom
Spin magnetization: 0.00 μB/f.u.
Theoretical density: 10.404 g/cm3
Density of states at the Fermi level: 11.4 states/eV/cell
Symmetry: C2/c (15)

***

Material: Ce2Pa5Ru4
Method: DFT, PBE
State: relaxed

Unit cell a=10.524 b=10.524 c=7.420 alpha=94.10 beta=94.10 gamma=17.68
Fractional positions:
Ce 0.076 0.076 0.133
Ce 0.924 0.924 0.867
Pa 0.173 0.173 0.536
Pa 0.211 0.211 0.181
Pa 0.500 0.500 0.500
Pa 0.789 0.789 0.819
Pa 0.827 0.827 0.464
Ru 0.053 0.053 0.730
Ru 0.334 0.334 0.135
Ru 0.666 0.666 0.865
Ru 0.947 0.947 0.270

Computed properties:
Formation energy from the elements: -114 meV/atom
Spin magnetization: 1.07 μB/f.u.
Theoretical density: 12.275 g/cm3
Density of states at the Fermi level: 18.6 states/eV/cell
Symmetry: C2/m (12)

***

Material: CePaRu
Method: DFT, PBE
State: relaxed

Unit cell a=6.712 b=6.712 c=6.712 alpha=90.00 beta=90.00 gamma=90.00
Fractional positions:
Ce 0.000 0.000 0.000
Ce 0.000 0.500 0.500
Ce 0.500 0.000 0.500
Ce 0.500 0.500 0.000
Pa 0.000 0.000 0.500
Pa 0.000 0.500 0.000
Pa 0.500 0.000 0.000
Pa 0.500 0.500 0.500
Ru 0.250 0.250 0.750
Ru 0.250 0.750 0.250
Ru 0.750 0.250 0.250
Ru 0.750 0.750 0.750

Computed properties:
Formation energy from the elements: 0 meV/atom
Spin magnetization: 1.80 μB/f.u.
Theoretical density: 10.374 g/cm3
Offset from the most stable computed form: 273 meV/atom
Density of states at the Fermi level: 30.1 states/eV/cell
Symmetry: F-43m (216)

***

Material: CePaRu2
Method: DFT, PBE
State: relaxed

Unit cell a=6.871 b=6.871 c=6.871 alpha=90.00 beta=90.00 gamma=90.00
Fractional positions:
Ce 0.000 0.000 0.000
Ce 0.000 0.500 0.500
Ce 0.500 0.000 0.500
Ce 0.500 0.500 0.000
Pa 0.000 0.000 0.500
Pa 0.000 0.500 0.000
Pa 0.500 0.000 0.000
Pa 0.500 0.500 0.500
Ru 0.250 0.250 0.250
Ru 0.250 0.250 0.750
Ru 0.250 0.750 0.250
Ru 0.250 0.750 0.750
Ru 0.750 0.250 0.250
Ru 0.750 0.250 0.750
Ru 0.750 0.750 0.250
Ru 0.750 0.750 0.750

Computed properties:
Formation energy from the elements: -324 meV/atom
Spin magnetization: 0.00 μB/f.u.
Theoretical density: 11.741 g/cm3
Density of states at the Fermi level: 23.0 states/eV/cell
Symmetry: Fm-3m (225)

***

Material: Ce2PaRu
Method: DFT, PBE
State: relaxed

Unit cell a=3.453 b=3.453 c=7.672 alpha=90.00 beta=90.00 gamma=90.00
Fractional positions:
Ce 0.000 0.000 0.221
Ce 0.000 0.000 0.779
Pa 0.500 0.500 0.500
Ru 0.500 0.500 0.000

Computed properties:
Formation energy from the elements: -130 meV/atom
Spin magnetization: 0.00 μB/f.u.
Theoretical density: 11.117 g/cm3
Offset from the most stable computed form: 59 meV/atom
Density of states at the Fermi level: 5.4 states/eV/cell
Symmetry: P4/mmm (123)

***

Material: CePaRu2
Method: DFT, PBE
State: relaxed

Unit cell a=5.408 b=5.403 c=11.786 alpha=90.00 beta=104.12 gamma=90.00
Fractional positions:
Ce 0.191 0.131 0.139
Ce 0.191 0.869 0.639
Ce 0.809 0.131 0.361
Ce 0.809 0.869 0.861
Pa 0.310 0.367 0.864
Pa 0.310 0.633 0.364
Pa 0.690 0.367 0.636
Pa 0.690 0.633 0.136
Ru 0.172 0.370 0.604
Ru 0.172 0.630 0.104
Ru 0.332 0.138 0.406
Ru 0.332 0.862 0.906
Ru 0.668 0.138 0.094
Ru 0.668 0.862 0.594
Ru 0.828 0.370 0.896
Ru 0.828 0.630 0.396

Computed properties:
Formation energy from the elements: -503 meV/atom
Spin magnetization: 0.00 μB/f.u.
Theoretical density: 11.402 g/cm3
Density of states at the Fermi level: 10.9 states/eV/cell
Symmetry: P2/c (13)

***

Material: Ce2PaRu
Method: DFT, PBE
State: relaxed

Unit cell a=4.605 b=4.605 c=14.330 alpha=90.00 beta=90.00 gamma=120.00
Fractional positions:
Ce 0.000 0.000 0.246
Ce 0.000 0.000 0.754
Ce 0.333 0.667 0.421
Ce 0.333 0.667 0.912
Ce 0.667 0.333 0.088
Ce 0.667 0.333 0.579
Pa 0.000 0.000 0.000
Pa 0.333 0.667 0.667
Pa 0.667 0.333 0.333
Ru 0.000 0.000 0.500
Ru 0.333 0.667 0.167
Ru 0.667 0.333 0.833

Computed properties:
Formation energy from the elements: 74 meV/atom
Spin magnetization: 0.00 μB/f.u.
Theoretical density: 11.591 g/cm3
Offset from the most stable computed form: 264 meV/atom
Density of states at the Fermi level: 27.2 states/eV/cell
Symmetry: R-3m (166)

***

Material: CePa2Ru4
Method: DFT, PBE
State: relaxed

Unit cell a=6.606 b=6.651 c=7.859 alpha=66.45 beta=66.52 gamma=71.54
Fractional positions:
Ce 0.000 0.000 0.000
Ce 0.252 0.755 0.501
Pa 0.055 0.398 0.216
Pa 0.535 0.286 0.319
Pa 0.600 0.950 0.781
Pa 0.723 0.467 0.678
Ru 0.033 0.168 0.582
Ru 0.283 0.286 0.736
Ru 0.324 0.602 0.856
Ru 0.397 0.681 0.145
Ru 0.431 0.133 0.082
Ru 0.719 0.717 0.264
Ru 0.831 0.970 0.417
Ru 0.867 0.574 0.917

Computed properties:
Formation energy from the elements: -348 meV/atom
Spin magnetization: 0.00 μB/f.u.
Theoretical density: 11.719 g/cm3
Density of states at the Fermi level: 12.3 states/eV/cell
Symmetry: P1 (1)

***

Material: CePaRu2
Method: DFT, PBE
State: relaxed

Unit cell a=3.404 b=3.404 c=7.175 alpha=90.00 beta=90.00 gamma=90.00
Fractional positions:
Ce 0.000 0.000 0.000
Pa 0.000 0.000 0.500
Ru 0.500 0.500 0.289
Ru 0.500 0.500 0.711

Computed properties:
Formation energy from the elements: -378 meV/atom
Spin magnetization: 0.67 μB/f.u.
Theoretical density: 11.450 g/cm3
Density of states at the Fermi level: 6.9 states/eV/cell
Symmetry: P4/mmm (123)

***

Material: Ce2PaRu
Method: DFT, PBE
State: relaxed

Unit cell a=4.940 b=4.927 c=7.749 alpha=90.00 beta=90.17 gamma=90.00
Fractional positions:
Ce 0.000 0.000 0.000
Ce 0.001 0.500 0.708
Ce 0.500 0.500 0.000
Ce 0.501 0.000 0.708
Pa 0.498 0.500 0.429
Pa 0.998 0.000 0.429
Ru 0.498 0.000 0.257
Ru 0.998 0.500 0.257

Computed properties:
Formation energy from the elements: -190 meV/atom
Spin magnetization: 0.03 μB/f.u.
Theoretical density: 10.782 g/cm3
Offset from the most stable computed form: 0 meV/atom
Density of states at the Fermi level: 16.9 states/eV/cell
Symmetry: Cm (8)

***

Material: Ce2Pa2Ru3
Method: DFT, PBE
State: relaxed

Unit cell a=3.834 b=6.671 c=6.995 alpha=89.96 beta=74.13 gamma=73.31
Fractional positions:
Ce 0.204 0.217 0.376
Ce 0.796 0.783 0.624
Pa 0.086 0.724 0.106
Pa 0.914 0.276 0.894
Ru 0.401 0.481 0.716
Ru 0.500 0.000 0.000
Ru 0.599 0.519 0.284

Computed properties:
Formation energy from the elements: -383 meV/atom
Spin magnetization: 1.29 μB/f.u.
Theoretical density: 10.569 g/cm3
Density of states at the Fermi level: 12.7 states/eV/cell
Symmetry: P-1 (2)

***

Material: CePaRu
Method: DFT, PBE
State: relaxed

Unit cell a=4.446 b=4.446 c=3.850 alpha=90.00 beta=90.00 gamma=120.00
Fractional positions:
Ce 0.000 0.000 0.000
Pa 0.667 0.333 0.645
Ru 0.333 0.667 0.347

Computed properties:
Formation energy from the elements: -209 meV/atom
Spin magnetization: 0.00 μB/f.u.
Theoretical density: 11.897 g/cm3
Offset from the most stable computed form: 64 meV/atom
Density of states at the Fermi level: 3.7 states/eV/cell
Symmetry: P3m1 (156)

***

Material: CePaRu
Method: DFT, PBE
State: relaxed

Unit cell a=5.816 b=6.208 c=8.520 alpha=90.00 beta=115.72 gamma=90.00
Fractional positions:
Ce 0.193 0.120 0.375
Ce 0.193 0.380 0.875
Ce 0.807 0.620 0.125
Ce 0.807 0.880 0.625
Pa 0.458 0.626 0.301
Pa 0.458 0.874 0.801
Pa 0.542 0.126 0.199
Pa 0.542 0.374 0.699
Ru 0.199 0.651 0.515
Ru 0.199 0.849 0.015
Ru 0.801 0.151 0.985
Ru 0.801 0.349 0.485

Computed properties:
Formation energy from the elements: -273 meV/atom
Spin magnetization: 0.00 μB/f.u.
Theoretical density: 11.315 g/cm3
Offset from the most stable computed form: 0 meV/atom
Density of states at the Fermi level: 22.0 states/eV/cell
Symmetry: P2_1/c (14)

***

Material: Ce2PaSi2Ru5
Method: DFT, PBE
State: relaxed

Unit cell a=10.040 b=10.040 c=3.518 alpha=90.00 beta=90.00 gamma=90.00
Fractional positions:
Ce 0.170 0.330 0.000
Ce 0.330 0.830 0.000
Ce 0.670 0.170 0.000
Ce 0.830 0.670 0.000
Pa 0.000 0.000 0.000
Pa 0.500 0.500 0.000
Si 0.125 0.625 0.000
Si 0.375 0.125 0.000
Si 0.625 0.875 0.000
Si 0.875 0.375 0.000
Ru 0.000 0.500 0.500
Ru 0.071 0.787 0.500
Ru 0.213 0.071 0.500
Ru 0.287 0.571 0.500
Ru 0.429 0.287 0.500
Ru 0.500 0.000 0.500
Ru 0.571 0.713 0.500
Ru 0.713 0.429 0.500
Ru 0.787 0.929 0.500
Ru 0.929 0.213 0.500

Computed properties:
Spin magnetization: 0.78 μB/f.u.
Theoretical density: 10.049 g/cm3
Density of states at the Fermi level: 20.6 states/eV/cell
Uncorrected formation energy: -0.623 eV/atom
Symmetry: P4/mbm (127)